Entry 1:
Density functional theory data (PBE) for a geometry-optimized TiIn2GaF6 structure.

It has space group Pmmn (No. 59, origin choice 2), with a = 5.8360 Å, b = 8.3469 Å, c = 7.5829 Å, α = 90.00°, β = 90.00° and γ = 90.00°. The inequivalent atoms are Ti at (0.2500, 0.2500, 0.1285), In at (0.2500, 0.5258, 0.5635), Ga at (0.2500, 0.7500, 0.2277), F at (0.0013, 0.2500, 0.3069), F at (0.0138, 0.2500, 0.9401) and F at (0.2500, 0.0234, 0.1454).



Entry 2:
Density functional theory data (PBE) for a geometry-optimized TiInGaF2 structure.

It has space group P4/mmm (No. 123), with a = 3.9972 Å, b = 3.9972 Å, c = 5.8364 Å, α = 90.00°, β = 90.00° and γ = 90.00°. The inequivalent atoms are Ti at (0.0000, 0.0000, 0.0000), In at (0.5000, 0.5000, 0.0000), Ga at (0.5000, 0.5000, 0.5000) and F at (0.0000, 0.5000, 0.5000).



Entry 3:
Density functional theory data (PBE) for a geometry-optimized TlInGa2F8 structure.

It has space group P-3 (No. 147), with a = 5.7540 Å, b = 5.7540 Å, c = 9.0275 Å, α = 90.00°, β = 90.00° and γ = 120.00°. The inequivalent atoms are Tl at (0.0000, 0.0000, 0.0000), In at (0.0000, 0.0000, 0.5000), Ga at (0.3333, 0.6667, 0.7900), F at (0.0779, 0.3417, 0.7258) and F at (0.3333, 0.6667, 0.9892).



What did we get for formation energy from raw total energies? Answer: -2.3081, -0.7698, -2.2949 eV/atom, in the order shown.
What did we get for theoretical density? Answer: 4.147, 4.815, 3.917 Mg/m³, in the order shown.
What did we get for D(E_F)? Answer: 0.4357, 0.7936, 0.0000 states/eV/atom, in the order shown.